one.
Compound: MgTaSb
Source: the Alexandria database
Functional: GGA-PBEsol
Structure: optimized geometry

The value obtained for the density is 7.87 g cm⁻³.

The space group is F-43m (No. 216) and the conventional cell measures 6.5115, 6.5115 and 6.5115 Å, with angles of 90.00, 90.00 and 90.00 degrees. The asymmetric unit holds Mg at (0.0000, 0.0000, 0.0000), Ta at (0.0000, 0.0000, 0.5000) and Sb at (0.2500, 0.2500, 0.7500).

***

two.
Compound: MgTaSb
Source: the Alexandria database
Functional: GGA-PBEsol
Structure: optimized geometry

The value obtained for the density is 8.91 g cm⁻³.

The space group is P-6m2 (No. 187) and the conventional cell measures 4.8975, 4.8975 and 2.9330 Å, with angles of 90.00, 90.00 and 120.00 degrees. The asymmetric unit holds Mg at (0.0000, 0.0000, 0.0000), Ta at (0.6667, 0.3333, 0.5000) and Sb at (0.3333, 0.6667, 0.5000).

***

Relative to the most stable structure, the computed energies are one 323; two 0, all in meV/atom.

***

one.
Compound: MgTlSb2
Source: the Alexandria database
Functional: GGA-PBEsol
Structure: optimized geometry

The value obtained for the density is 7.57 g cm⁻³.

The space group is I-4m2 (No. 119) and the conventional cell measures 4.7316, 4.7316 and 9.2557 Å, with angles of 90.00, 90.00 and 90.00 degrees. The asymmetric unit holds Mg at (0.0000, 0.0000, 0.0000), Tl at (0.0000, 0.5000, 0.7500), Sb at (0.0000, 0.0000, 0.5000) and Sb at (0.0000, 0.5000, 0.2500).

***

two.
Compound: MgTlSb2
Source: the Alexandria database
Functional: GGA-PBEsol
Structure: optimized geometry

The value obtained for the density is 7.51 g cm⁻³.

The space group is P4/mmm (No. 123) and the conventional cell measures 3.3293, 3.3293 and 9.4162 Å, with angles of 90.00, 90.00 and 90.00 degrees. The asymmetric unit holds Mg at (0.0000, 0.0000, 0.0000), Tl at (0.0000, 0.0000, 0.5000) and Sb at (0.5000, 0.5000, 0.2179).

***

Relative to the most stable structure, the computed energies are one 118; two 0, all in meV/atom.

***

one.
Compound: MgTlSb2
Source: the Alexandria database
Functional: GGA-PBEsol
Structure: optimized geometry

The value obtained for the density is 7.63 g cm⁻³.

The space group is Immm (No. 71) and the conventional cell measures 3.9739, 5.0309 and 10.2771 Å, with angles of 90.00, 90.00 and 90.00 degrees. The asymmetric unit holds Mg at (0.0000, 0.0000, 0.0000), Tl at (0.0000, 0.0000, 0.5000) and Sb at (0.0000, 0.5000, 0.2665).

***

two.
Compound: MgTlSb2
Source: the Alexandria database
Functional: GGA-PBEsol
Structure: optimized geometry

The value obtained for the density is 7.55 g cm⁻³.

The space group is Fm-3m (No. 225) and the conventional cell measures 7.4605, 7.4605 and 7.4605 Å, with angles of 90.00, 90.00 and 90.00 degrees. The asymmetric unit holds Mg at (0.0000, 0.0000, 0.0000), Tl at (0.0000, 0.0000, 0.5000) and Sb at (0.2500, 0.2500, 0.2500).

***

Relative to the most stable structure, the computed energies are one 0; two 52, all in meV/atom.

***

one.
Compound: MgSbW2
Source: the Alexandria database
Functional: GGA-PBEsol
Structure: optimized geometry

The value obtained for the density is 12.12 g cm⁻³.

The space group is C2/m (No. 12) and the conventional cell measures 9.5318, 3.1880 and 4.6892 Å, with angles of 90.00, 98.86 and 90.00 degrees. The asymmetric unit holds Mg at (0.0000, 0.0000, 0.0000), Sb at (0.0000, 0.5000, 0.5000) and W at (0.2499, 0.0000, 0.7731).

***

two.
Compound: MgSbW2
Source: the Alexandria database
Functional: GGA-PBEsol
Structure: optimized geometry

The value obtained for the density is 12.07 g cm⁻³.

The space group is Cm (No. 8) and the conventional cell measures 9.6099, 3.4021 and 4.6813 Å, with angles of 90.00, 112.58 and 90.00 degrees. The asymmetric unit holds Mg at (0.0000, 0.0000, 0.0000), Sb at (0.2677, 0.5000, 0.2851), W at (0.0252, 0.5000, 0.5229) and W at (0.2395, 0.0000, 0.7612).

***

three.
Compound: MgSbW2
Source: the Alexandria database
Functional: GGA-PBEsol
Structure: optimized geometry

The value obtained for the density is 12.42 g cm⁻³.

The space group is P4/mmm (No. 123) and the conventional cell measures 3.9354, 3.9354 and 4.4360 Å, with angles of 90.00, 90.00 and 90.00 degrees. The asymmetric unit holds Mg at (0.0000, 0.0000, 0.0000), Sb at (0.5000, 0.5000, 0.0000) and W at (0.0000, 0.5000, 0.5000).

***

Relative to the most stable structure, the computed energies are one 33; two 0; three 112, all in meV/atom.

***

one.
Compound: MgZnSb2
Source: the Alexandria database
Functional: GGA-PBEsol
Structure: optimized geometry

The value obtained for the density is 6.13 g cm⁻³.

The space group is Immm (No. 71) and the conventional cell measures 4.0860, 5.1581 and 8.5626 Å, with angles of 90.00, 90.00 and 90.00 degrees. The asymmetric unit holds Mg at (0.0000, 0.0000, 0.0000), Zn at (0.0000, 0.0000, 0.5000) and Sb at (0.0000, 0.5000, 0.2324).

***

two.
Compound: MgZnSb2
Source: the Alexandria database
Functional: GGA-PBEsol
Structure: optimized geometry

The value obtained for the density is 6.20 g cm⁻³.

The space group is Fm-3m (No. 225) and the conventional cell measures 7.0938, 7.0938 and 7.0938 Å, with angles of 90.00, 90.00 and 90.00 degrees. The asymmetric unit holds Mg at (0.0000, 0.0000, 0.0000), Zn at (0.0000, 0.0000, 0.5000) and Sb at (0.2500, 0.2500, 0.2500).

***

Relative to the most stable structure, the computed energies are one 0; two 67, all in meV/atom.

***

one.
Compound: Mg2ZnSb2
Source: the Alexandria database
Functional: GGA-PBEsol
Structure: optimized geometry

The value obtained for the density is 4.30 g cm⁻³.

The space group is I4/mmm (No. 139) and the conventional cell measures 5.0719, 5.0719 and 10.7333 Å, with angles of 90.00, 90.00 and 90.00 degrees. The asymmetric unit holds Mg at (0.0000, 0.5000, 0.2500), Zn at (0.0000, 0.0000, 0.0000) and Sb at (0.0000, 0.0000, 0.3717).

***

two.
Compound: Mg2ZnSb2
Source: the Alexandria database
Functional: GGA-PBEsol
Structure: optimized geometry

The value obtained for the density is 4.88 g cm⁻³.

The space group is P3m1 (No. 156) and the conventional cell measures 4.4165, 4.4165 and 7.2087 Å, with angles of 90.00, 90.00 and 120.00 degrees. The asymmetric unit holds Mg at (0.0000, 0.0000, 0.0000), Mg at (0.3333, 0.6667, 0.6295), Zn at (0.6667, 0.3333, 0.3864), Sb at (0.3333, 0.6667, 0.2398) and Sb at (0.6667, 0.3333, 0.7842).

***

Relative to the most stable structure, the computed energies are one 249; two 0, all in meV/atom.

***

one.
Compound: Mg3Sc4
Source: the Alexandria database
Functional: GGA-PBEsol
Structure: optimized geometry

The value obtained for the density is 2.57 g cm⁻³.

The space group is P6/mmm (No. 191) and the conventional cell measures 5.7162, 5.7162 and 5.7623 Å, with angles of 90.00, 90.00 and 120.00 degrees. The asymmetric unit holds Mg at (0.0000, 0.5000, 0.0000), Sc at (0.0000, 0.0000, 0.2620) and Sc at (0.3333, 0.6667, 0.5000).

***

two.
Compound: Mg3Sc4
Source: the Alexandria database
Functional: GGA-PBEsol
Structure: optimized geometry

The value obtained for the density is 2.59 g cm⁻³.

The space group is I4/mmm (No. 139) and the conventional cell measures 3.2091, 3.2091 and 31.4772 Å, with angles of 90.00, 90.00 and 90.00 degrees. The asymmetric unit holds Mg at (0.0000, 0.0000, 0.0000), Mg at (0.0000, 0.0000, 0.2846), Sc at (0.0000, 0.0000, 0.1431) and Sc at (0.0000, 0.0000, 0.4278).

***

Relative to the most stable structure, the computed energies are one 121; two 0, all in meV/atom.

***

one.
Compound: Mg4Sc
Source: the Alexandria database
Functional: GGA-PBEsol
Structure: optimized geometry

The value obtained for the density is 2.07 g cm⁻³.

The space group is R-3m (No. 166, hexagonal axes) and the conventional cell measures 3.1729, 3.1729 and 39.2752 Å, with angles of 90.00, 90.00 and 120.00 degrees. The asymmetric unit holds Mg at (0.0000, 0.0000, 0.0998), Mg at (0.0000, 0.0000, 0.3001) and Sc at (0.0000, 0.0000, 0.5000).

***

two.
Compound: Mg4Sc
Source: the Alexandria database
Functional: GGA-PBEsol
Structure: optimized geometry

The value obtained for the density is 2.09 g cm⁻³.

The space group is I4/m (No. 87) and the conventional cell measures 6.9247, 6.9247 and 4.7170 Å, with angles of 90.00, 90.00 and 90.00 degrees. The asymmetric unit holds Mg at (0.0892, 0.2985, 0.0000) and Sc at (0.0000, 0.0000, 0.5000).

***

Relative to the most stable structure, the computed energies are one 0; two 6, all in meV/atom.

***

one.
Compound: MgSc2Se
Source: the Alexandria database
Functional: GGA-PBEsol
Structure: optimized geometry

The value obtained for the density is 3.85 g cm⁻³.

The space group is P4mm (No. 99) and the conventional cell measures 3.7123, 3.7123 and 6.0491 Å, with angles of 90.00, 90.00 and 90.00 degrees. The asymmetric unit holds Mg at (0.0000, 0.0000, 0.0000), Sc at (0.0000, 0.0000, 0.5073), Sc at (0.5000, 0.5000, 0.2404) and Se at (0.5000, 0.5000, 0.7007).

***

two.
Compound: MgSc2Se
Source: the Alexandria database
Functional: GGA-PBEsol
Structure: optimized geometry

The value obtained for the density is 3.76 g cm⁻³.

The space group is F-43m (No. 216) and the conventional cell measures 6.9870, 6.9870 and 6.9870 Å, with angles of 90.00, 90.00 and 90.00 degrees. The asymmetric unit holds Mg at (0.0000, 0.0000, 0.0000), Sc at (0.0000, 0.0000, 0.5000), Sc at (0.2500, 0.2500, 0.7500) and Se at (0.2500, 0.2500, 0.2500).

***

three.
Compound: MgSc2Se
Source: the Alexandria database
Functional: GGA-PBEsol
Structure: optimized geometry

The value obtained for the density is 3.94 g cm⁻³.

The space group is I-4m2 (No. 119) and the conventional cell measures 4.0246, 4.0246 and 10.0519 Å, with angles of 90.00, 90.00 and 90.00 degrees. The asymmetric unit holds Mg at (0.0000, 0.0000, 0.0000), Sc at (0.0000, 0.0000, 0.5000), Sc at (0.0000, 0.5000, 0.2500) and Se at (0.0000, 0.5000, 0.7500).

***

four.
Compound: MgSc2Se
Source: the Alexandria database
Functional: GGA-PBEsol
Structure: optimized geometry

The value obtained for the density is 3.59 g cm⁻³.

The space group is R-3m (No. 166, hexagonal axes) and the conventional cell measures 3.5880, 3.5880 and 24.0412 Å, with angles of 90.00, 90.00 and 120.00 degrees. The asymmetric unit holds Mg at (0.0000, 0.0000, 0.0000), Sc at (0.0000, 0.0000, 0.2341) and Se at (0.0000, 0.0000, 0.5000).

***

Relative to the most stable structure, the computed energies are one 214; two 763; three 273; four 0, all in meV/atom.

***

one.
Compound: YMgSc
Source: the Alexandria database
Functional: GGA-PBEsol
Structure: optimized geometry

The value obtained for the density is 2.90 g cm⁻³.

The space group is F-43m (No. 216) and the conventional cell measures 7.1251, 7.1251 and 7.1251 Å, with angles of 90.00, 90.00 and 90.00 degrees. The asymmetric unit holds Y at (0.0000, 0.0000, 0.0000), Mg at (0.0000, 0.0000, 0.5000) and Sc at (0.2500, 0.2500, 0.7500).

***

two.
Compound: YMgSc
Source: the Alexandria database
Functional: GGA-PBEsol
Structure: optimized geometry

The value obtained for the density is 3.42 g cm⁻³.

The space group is I4mm (No. 107) and the conventional cell measures 3.4680, 3.4680 and 12.7707 Å, with angles of 90.00, 90.00 and 90.00 degrees. The asymmetric unit holds Y at (0.0000, 0.0000, 0.0000), Mg at (0.0000, 0.0000, 0.6744) and Sc at (0.0000, 0.0000, 0.3260).

***

Relative to the most stable structure, the computed energies are one 709; two 0, all in meV/atom.

***

one.
Compound: MgSi2Se
Source: the Alexandria database
Functional: GGA-PBEsol
Structure: optimized geometry

The value obtained for the density is 3.65 g cm⁻³.

The space group is Fm-3m (No. 225) and the conventional cell measures 6.6202, 6.6202 and 6.6202 Å, with angles of 90.00, 90.00 and 90.00 degrees. The asymmetric unit holds Mg at (0.0000, 0.0000, 0.0000), Si at (0.2500, 0.2500, 0.2500) and Se at (0.0000, 0.0000, 0.5000).

***

two.
Compound: MgSi2Se
Source: the Alexandria database
Functional: GGA-PBEsol
Structure: optimized geometry

The value obtained for the density is 3.57 g cm⁻³.

The space group is C2/m (No. 12) and the conventional cell measures 11.3745, 3.6413 and 3.6446 Å, with angles of 90.00, 100.82 and 90.00 degrees. The asymmetric unit holds Mg at (0.0000, 0.0000, 0.0000), Si at (0.2383, 0.5000, 0.7532) and Se at (0.0000, 0.5000, 0.5000).

***

three.
Compound: MgSi2Se
Source: the Alexandria database
Functional: GGA-PBEsol
Structure: optimized geometry

The value obtained for the density is 3.66 g cm⁻³.

The space group is I4/mmm (No. 139) and the conventional cell measures 3.6526, 3.6526 and 10.8419 Å, with angles of 90.00, 90.00 and 90.00 degrees. The asymmetric unit holds Mg at (0.0000, 0.0000, 0.0000), Si at (0.0000, 0.5000, 0.2500) and Se at (0.0000, 0.0000, 0.5000).

***

Relative to the most stable structure, the computed energies are one 552; two 0; three 133, all in meV/atom.

***

one.
Compound: MgTaSe
Source: the Alexandria database
Functional: GGA-PBEsol
Structure: optimized geometry

The value obtained for the density is 8.18 g cm⁻³.

The space group is P3m1 (No. 156) and the conventional cell measures 3.2364, 3.2364 and 6.3580 Å, with angles of 90.00, 90.00 and 120.00 degrees. The asymmetric unit holds Mg at (0.0000, 0.0000, 0.0000), Ta at (0.6667, 0.3333, 0.3643) and Se at (0.3333, 0.6667, 0.6392).

***

two.
Compound: MgTaSe
Source: the Alexandria database
Functional: GGA-PBEsol
Structure: optimized geometry

The value obtained for the density is 8.39 g cm⁻³.

The space group is I4mm (No. 107) and the conventional cell measures 3.2657, 3.2657 and 10.5529 Å, with angles of 90.00, 90.00 and 90.00 degrees. The asymmetric unit holds Mg at (0.0000, 0.0000, 0.0000), Ta at (0.0000, 0.0000, 0.6877) and Se at (0.0000, 0.0000, 0.3015).

***

Relative to the most stable structure, the computed energies are one 0; two 40, all in meV/atom.